[1]
DFT (GGA-PBEsol) results for an optimized crystal structure of CrIn2Rh.

The space group is R3m (No. 160, hexagonal axes) and the conventional cell measures 3.0439, 3.0439 and 26.5695 Å, with angles of 90.00, 90.00 and 120.00 degrees. Symmetry generates all atoms from Cr at (0.0000, 0.0000, 0.0000), In at (0.0000, 0.0000, 0.2493), In at (0.0000, 0.0000, 0.4815) and Rh at (0.0000, 0.0000, 0.7327).

The calculation puts the formation energy at 0.27 eV per atom. The density is 8986 kg/m3. For the energy, the calculation gives -23.284 eV per formula unit.

---

[2]
DFT (GGA-PBEsol) results for an optimized crystal structure of CaTcS2.

The space group is I-42d (No. 122) and the conventional cell measures 5.414, 5.414 and 12.187 Å, with angles of 90.00, 90.00 and 90.00 degrees. Symmetry generates all atoms from Ca at (0.000, 0.000, 0.000), Tc at (0.000, 0.000, 0.500) and S at (0.176, 0.250, 0.625).

Its energy above the lowest structure with this stoichiometry is 0.000 eV/atom. The density is 3760 kg/m3. For the uncorrected formation energy, the calculation gives -77.19 kJ per mole of atoms. For the energy, the calculation gives -25.368 eV per formula unit.

---

[3]
DFT (GGA-PBEsol) results for an optimized crystal structure of Zn2In2Os.

The space group is I4/mmm (No. 139) and the conventional cell measures 3.344, 3.344 and 15.959 Å, with angles of 90.00, 90.00 and 90.00 degrees. Symmetry generates all atoms from Zn at (0.000, 0.500, 0.250), In at (0.000, 0.000, 0.096) and Os at (0.000, 0.000, 0.500).

The calculation puts the formation energy at 0.44 eV per atom. The density is 10246 kg/m3. For the energy, the calculation gives -19.157 eV per formula unit.

---

[4]
DFT (GGA-PBEsol) results for an optimized crystal structure of Mg2CO.

The space group is Fm-3m (No. 225) and the conventional cell measures 5.552, 5.552 and 5.552 Å, with angles of 90.00, 90.00 and 90.00 degrees. Symmetry generates all atoms from Mg at (0.250, 0.250, 0.250), C at (0.000, 0.000, 0.000) and O at (0.000, 0.000, 0.500).

The density is 2974 kg/m3. For the uncorrected formation energy, the calculation gives -0.69 kJ per mole of atoms. For the energy, the calculation gives -18.356 eV per formula unit.